[1]
Ti2IrPb: relaxed, GGA-PBE.

POSCAR file:
```
Ti2IrPb
1.0
4.117 0.000 0.000
0.000 4.117 0.000
2.059 2.059 9.305
Ir Ti Pb
2 4 2
direct
0.500 0.500 0.000 Ir
0.250 0.750 0.500 Ir
0.875 0.867 0.750 Ti
0.133 0.625 0.250 Ti
0.375 0.383 0.750 Ti
0.617 0.125 0.250 Ti
0.000 0.000 0.000 Pb
0.750 0.250 0.500 Pb
```

- energy of formation from the pure elements (eV/atom) = 0.32
- total moment (μB per cell) = 0.00
- E (eV/cell) = -54.16



[2]
KSm3Cl8: relaxed, GGA-PBE.

POSCAR file:
```
KSm3Cl8
1.0
6.807 0.000 3.674
2.412 6.365 3.674
-0.516 -0.356 9.098
Cl Sm K
8 3 1
direct
0.733 0.236 0.795 Cl
0.764 0.267 0.205 Cl
0.236 0.236 0.795 Cl
0.764 0.764 0.205 Cl
0.740 0.740 0.780 Cl
0.260 0.260 0.220 Cl
0.267 0.764 0.205 Cl
0.236 0.733 0.795 Cl
0.500 0.500 0.000 Sm
0.500 0.000 0.000 Sm
0.000 0.500 0.000 Sm
0.500 0.500 0.500 K
```

- energy relative to the elements, uncorrected (eV per atom) = -2.050
- total moment (μB per cell) = 1.48
- E (eV/cell) = -54.63